K5LuHfMo6O24 | GGA+U | relaxed

extended XYZ file:
```
74
Lattice="-13.948 1.201 -3.149 -10.665 -9.144 -2.925 -12.299 -3.765 6.363" Properties=species:S:1:pos:R:3 pbc="T T T"
K -15.751 -3.632 3.228
K -16.016 -2.939 -2.560
K -14.373 -8.065 -0.307
K -20.896 -8.769 2.849
K -22.539 -3.644 0.596
K -21.161 -8.077 -2.939
K -23.865 -7.570 0.187
K -5.409 -1.716 0.042
K -13.047 -4.139 0.102
K -31.503 -9.993 0.246
Lu -27.684 -8.782 0.217
Lu -9.228 -2.927 0.072
Hf 0.000 0.000 0.000
Hf -18.456 -5.854 0.144
Mo -11.732 -1.733 -2.584
Mo -10.156 -6.643 -0.219
Mo -11.532 -2.226 3.064
Mo -16.901 -6.799 -3.100
Mo -16.632 -7.497 2.940
Mo -18.344 -2.160 0.566
Mo -25.179 -9.976 2.872
Mo -26.755 -5.066 0.508
Mo -25.380 -9.483 -2.776
Mo -20.011 -4.910 3.389
Mo -20.279 -4.212 -2.651
Mo -18.568 -9.548 -0.277
O -13.186 -2.715 -2.512
O -11.848 -6.865 0.194
O -13.199 -2.548 2.616
O -18.443 -7.515 -3.539
O -18.148 -8.274 3.365
O -20.098 -2.193 0.617
O -23.726 -8.993 2.800
O -25.063 -4.844 0.094
O -23.713 -9.161 -2.328
O -18.469 -4.194 3.828
O -18.764 -3.434 -3.077
O -16.813 -9.516 -0.329
O -12.269 0.022 -2.814
O -9.809 -7.705 -1.693
O -11.283 -2.900 4.768
O -17.107 -6.038 -1.427
O -16.942 -6.488 1.421
O -17.767 -3.911 0.411
O -24.643 -11.731 3.103
O -27.103 -4.004 1.982
O -25.629 -8.809 -4.480
O -19.805 -5.671 1.716
O -19.970 -5.221 -1.132
O -19.144 -7.798 -0.123
O -23.028 -6.009 2.411
O -23.084 -5.941 -2.009
O -21.899 -9.624 0.130
O -15.651 -8.053 -3.045
O -16.103 -6.448 4.266
O -17.802 -1.219 -0.833
O -13.884 -5.699 -2.122
O -13.827 -5.768 2.298
O -15.012 -2.085 0.159
O -21.261 -3.656 3.334
O -20.809 -5.261 -3.977
O -19.110 -10.490 1.122
O -10.869 -1.931 -0.988
O -9.931 -4.880 -0.636
O -10.473 -3.109 1.869
O -28.828 -9.280 2.020
O -29.375 -7.620 -0.559
O -28.437 -10.583 -0.783
O -26.043 -9.778 1.277
O -26.981 -6.828 0.925
O -26.439 -8.600 -1.580
O -8.083 -2.429 -1.731
O -7.537 -4.088 0.848
O -8.475 -1.126 1.072
```

Results
As for the mass density: 3.8 g/cm³. As for the total energy: -6.98 eV per atom. As for the space group: R-3c (167).